# PBE with a Hubbard U CoMoOF2, relaxed
# * final energy: -26.70 eV for the cell shown
# * density: 4.731 g/cm³
# * density of states at the Fermi level: 0.1794 states/eV per atom
# * spin magnetization: 4.986 μB/cell
# * E above lowest polymorph: 0 meV per atom
data_CoMoOF2
_chemical_formula_sum 'Co1 Mo1 O1 F2'
_symmetry_space_group_name_H-M 'P 4/m m m'
_symmetry_Int_Tables_number 123
_symmetry_space_group_name_Hall '-P 4 2'
_cell_length_a 4.193
_cell_length_b 4.193
_cell_length_c 4.169
_cell_angle_alpha 90.00
_cell_angle_beta 90.00
_cell_angle_gamma 90.00
loop_
_atom_site_label
_atom_site_type_symbol
_atom_site_fract_x
_atom_site_fract_y
_atom_site_fract_z
Co1 Co 0.000 0.000 0.000
Mo1 Mo 0.500 0.500 0.500
O1 O 0.500 0.500 0.000
F1 F 0.000 0.500 0.500